Arrangement i

Below is AgPbSO after structural relaxation, with properties calculated at the PBE-GGA level.

Properties
SG = No. 129

a = 3.8274 Å, b = 3.8274 Å, c = 10.8363 Å
α = 90.00°, β = 90.00°, γ = 90.00°
Sites, in units of the cell vectors:
Ag1 0.2500 0.7500 0.0000
Ag2 0.7500 0.2500 0.0000
Pb1 0.2500 0.2500 0.3765
Pb2 0.7500 0.7500 0.6235
S1 0.2500 0.2500 0.8438
S2 0.7500 0.7500 0.1562
O1 0.2500 0.2500 0.5796
O2 0.7500 0.7500 0.4204

***

Arrangement ii

Below is AgPbSO after structural relaxation, with properties calculated at the PBE-GGA level.

Properties
SG = No. 129

a = 4.5348 Å, b = 4.5348 Å, c = 8.2988 Å
α = 90.00°, β = 90.00°, γ = 90.00°
Sites, in units of the cell vectors:
Ag1 0.2500 0.2500 0.1210
Ag2 0.7500 0.7500 0.8790
Pb1 0.2500 0.2500 0.6482
Pb2 0.7500 0.7500 0.3518
S1 0.2500 0.7500 0.0000
S2 0.7500 0.2500 0.0000
O1 0.2500 0.2500 0.3953
O2 0.7500 0.7500 0.6047

***

Stability, descending: arrangement i, arrangement ii